[1]
Entry from OQMD: Nb2AgPb after structural relaxation (PBE).

Computed properties:
total magnetization	0.0	Bohr magnetons per cell
ρ	10.5	g/cm³
crystal system	cubic
E	-6.119	eV per atom

Cell lengths 4.8267, 4.8267, 4.8267 Å; angles 60.00, 60.00, 60.00 degrees
Closest atoms and distances in Å follow each position.
Atoms (fractional coordinates):
Ag 0.2500 0.2500 0.2500  4 Nb 2.96, 4 Pb 2.96
Nb 0.0000 0.0000 0.0000  4 Ag 2.96, 4 Nb 2.96
Pb 0.5000 0.5000 0.5000  4 Ag 2.96, 4 Nb 2.96
Nb 0.7500 0.7500 0.7500  4 Nb 2.96, 4 Pb 2.96

[2]
Entry from OQMD: Dy5Er2Te2Ir2 after structural relaxation (PBE).

Computed properties:
total magnetization	0.0	Bohr magnetons per cell
ρ	10.2	g/cm³
crystal system	orthorhombic
E	-6.030	eV per atom
polymorph energy (0 for the lowest one)	0.00	eV per formula unit

Cell lengths 9.3752, 9.3752, 9.3752 Å; angles 155.80, 66.23, 119.41 degrees
Closest atoms and distances in Å follow each position.
Atoms (fractional coordinates):
Er 0.8700 0.0545 0.8155  3 Ir 2.85-3.09, 1 Te 3.17
Ir 0.4917 0.7541 0.7376  4 Dy 2.84-2.86, 3 Er 2.85-3.09
Ir 0.0165 0.7541 0.2624  4 Dy 2.84-2.86, 3 Er 2.85-3.09
Te 0.5193 0.0193 0.5000  7 Dy 3.11-3.19
Dy 0.1823 0.6823 0.5000  3 Te 3.18-3.19
Dy 0.5602 0.4139 0.1463  2 Ir 2.86, 2 Te 3.18
Dy 0.8965 0.2648 0.6316  2 Ir 2.84, 1 Te 3.11
Dy 0.6332 0.2648 0.3684  2 Ir 2.84, 1 Te 3.11
Er 0.2390 0.0545 0.1845  3 Ir 2.85-3.09, 1 Te 3.17
Dy 0.2676 0.4139 0.8537  2 Ir 2.86, 2 Te 3.18
Te 0.9183 0.9183 0.0000  2 Er 3.17, 6 Dy 3.18-3.20

[3]
Entry from OQMD: Gd3Ni4B4C3 after structural relaxation (PBE).

Computed properties:
total magnetization	0.0	Bohr magnetons per cell
ρ	7.9	g/cm³
crystal system	tetragonal
E	-6.971	eV per atom

Cell lengths 12.8961, 12.8961, 12.8961 Å; angles 163.87, 163.87, 22.88 degrees
Closest atoms and distances in Å follow each position.
Atoms (fractional coordinates):
B 0.2482 0.2482 0.0000  1 C 1.50
B 0.5452 0.5452 0.0000  1 C 1.50
Gd 0.4047 0.4047 0.0000  5 C 2.46-2.56
Ni 0.2047 0.7047 0.5000  4 B 2.09-2.12
Gd 0.1045 0.1045 0.0000  4 C 2.56
Ni 0.7047 0.2047 0.5000  4 B 2.09-2.12
C 0.9014 0.9014 0.0000  1 B 1.50
Ni 0.0042 0.5042 0.5000  4 B 2.09-2.12
C 0.6045 0.6045 0.0000  2 B 1.50
Gd 0.8042 0.8042 0.0000  5 C 2.46-2.56
Ni 0.5042 0.0042 0.5000  4 B 2.09-2.12
B 0.9607 0.9607 0.0000  1 C 1.50
C 0.3074 0.3074 0.0000  1 B 1.50
B 0.6637 0.6637 0.0000  1 C 1.50

[4]
Entry from OQMD: DyErIn after structural relaxation (PBE).

Computed properties:
total magnetization	0.0	Bohr magnetons per cell
ρ	7.6	g/cm³
crystal system	cubic
E	-4.057	eV per atom
polymorph energy (0 for the lowest one)	0.79	eV per formula unit

Cell lengths 5.1525, 5.1525, 5.1525 Å; angles 60.00, 60.00, 60.00 degrees
Closest atoms and distances in Å follow each position.
Atoms (fractional coordinates):
Er 0.2500 0.2500 0.2500  4 In 3.16
In 0.5000 0.5000 0.5000  4 Er 3.16, 4 Dy 3.16
Dy 0.7500 0.7500 0.7500  4 In 3.16

[5]
Entry from OQMD: RbTaB4 after structural relaxation (PBE).

Computed properties:
total magnetization	0.0	Bohr magnetons per cell
ρ	7.4	g/cm³
crystal system	orthorhombic
E	-5.952	eV per atom
polymorph energy (0 for the lowest one)	4.99	eV per formula unit

Cell lengths 5.1011, 5.1011, 5.1011 Å; angles 145.40, 107.93, 82.47 degrees
Closest atoms and distances in Å follow each position.
Atoms (fractional coordinates):
B 0.9500 0.2670 0.6830  2 B 1.74
Ta 0.0000 0.0000 0.0000  12 B 2.59-2.80
B 0.0500 0.7330 0.3170  2 B 1.74
B 0.5839 0.2670 0.3170  2 B 1.74
B 0.4161 0.7330 0.6830  2 B 1.74
Rb 0.5000 0.5000 0.0000  12 B 2.61-2.78

[6]
Entry from OQMD: NaNbZnPt after structural relaxation (PBE).

Computed properties:
total magnetization	0.0	Bohr magnetons per cell
ρ	9.3	g/cm³
crystal system	cubic
E	-4.689	eV per atom
polymorph energy (0 for the lowest one)	0.29	eV per formula unit

Cell lengths 4.5687, 4.5687, 4.5687 Å; angles 60.00, 60.00, 60.00 degrees
Closest atoms and distances in Å follow each position.
Atoms (fractional coordinates):
Zn 0.0000 0.0000 0.0000  4 Na 2.80, 4 Nb 2.80
Pt 0.5000 0.5000 0.5000  4 Na 2.80, 4 Nb 2.80
Na 0.7500 0.7500 0.7500  4 Pt 2.80, 4 Zn 2.80
Nb 0.2500 0.2500 0.2500  4 Pt 2.80, 4 Zn 2.80

Repeat the sixth record exactly.
Entry from OQMD: NaNbZnPt after structural relaxation (PBE).

Computed properties:
total magnetization	0.0	Bohr magnetons per cell
ρ	9.3	g/cm³
crystal system	cubic
E	-4.689	eV per atom
polymorph energy (0 for the lowest one)	0.29	eV per formula unit

Cell lengths 4.5687, 4.5687, 4.5687 Å; angles 60.00, 60.00, 60.00 degrees
Closest atoms and distances in Å follow each position.
Atoms (fractional coordinates):
Zn 0.0000 0.0000 0.0000  4 Na 2.80, 4 Nb 2.80
Pt 0.5000 0.5000 0.5000  4 Na 2.80, 4 Nb 2.80
Na 0.7500 0.7500 0.7500  4 Pt 2.80, 4 Zn 2.80
Nb 0.2500 0.2500 0.2500  4 Pt 2.80, 4 Zn 2.80